# TaZnCo2Cu, optimized geometry, DFT PBEsol
data_TaZnCo2Cu
_cell_length_a 4.2253
_cell_length_b 4.2253
_cell_length_c 4.1397
_cell_angle_alpha 90.00
_cell_angle_beta 90.00
_cell_angle_gamma 90.00
_space_group_name_H-M_alt 'P 4/m m m'
_space_group_IT_number 123
_space_group_name_Hall '-P 4 2'
loop_
_atom_site_label
_atom_site_type_symbol
_atom_site_fract_x
_atom_site_fract_y
_atom_site_fract_z
_atom_site_occupancy
Ta1 Ta 0.0000 0.0000 0.0000 1
Zn1 Zn 0.5000 0.5000 0.0000 1
Co1 Co 0.0000 0.5000 0.5000 1
Cu1 Cu 0.5000 0.5000 0.5000 1
# VASP energy: -5.690 eV/atom
# Formation enthalpy at 0 K: 1.098 eV/atom
# Volume: 73.9 Å³/cell